(1)
# Ba4ReW

A relaxed Ba4ReW crystal (GGA-PBE, Alexandria via LeMat-Bulk).

Lattice parameters (Å, degrees): 6.8122 6.8122 6.8122 60.00 60.00 60.00
Closest atoms and distances in Å follow each position.
Fractional coordinates of all 6 atoms:
Ba  0.8743  0.3752  0.3752  6 Ba 3.40-3.41
Ba  0.3752  0.3752  0.8743  6 Ba 3.40-3.41
Ba  0.3752  0.8743  0.3752  6 Ba 3.40-3.41
Ba  0.3752  0.3752  0.3752  6 Ba 3.40-3.41
Re  0.7500  0.7500  0.7500  12 Ba 3.99, 4 W 4.17
W  0.0000  0.0000  0.0000  12 Ba 3.99, 4 Re 4.17

Output
As for the space group: F-43m. Its formation energy from the elements is 2.072 eV/atom.


(2)
# BaRe2W

A relaxed BaRe2W crystal (GGA-PBE, Alexandria via LeMat-Bulk).

Lattice parameters (Å, degrees): 5.9819 5.9819 5.9819 151.02 126.09 62.36
Closest atoms and distances in Å follow each position.
Fractional coordinates of all 4 atoms:
Re  0.9570  0.9570  0.0000  2 Re 2.57
Re  0.7532  0.2532  0.5000  2 Re 2.57, 2 W 2.63
Ba  0.2475  0.7475  0.5000  2 Ba 2.99, 6 Re 3.10-3.33
W  0.5424  0.5424  0.0000  2 Re 2.63

Output
As for the space group: Imm2. Its formation energy from the elements is 1.296 eV/atom.


(3)
# BaRe2W

A relaxed BaRe2W crystal (GGA-PBE, Alexandria via LeMat-Bulk).

Lattice parameters (Å, degrees): 5.4600 5.4600 2.7403 90.00 90.00 103.68
Closest atoms and distances in Å follow each position.
Fractional coordinates of all 4 atoms:
Re  0.0000  0.0000  0.0000  2 Re 2.74, 4 Ba 3.05, 4 W 3.05
Re  0.5000  0.5000  0.0000  2 Re 2.74, 4 W 3.05, 4 Ba 3.05
Ba  0.0000  0.5000  0.5000  2 Ba 2.74, 8 Re 3.05
W  0.5000  0.0000  0.5000  2 W 2.74, 8 Re 3.05

Output
As for the space group: Cmmm. Its formation energy from the elements is 1.655 eV/atom.